The following is a DFT calculation (PBE) of crystalline Li2AlGa2 at its relaxed geometry.

Structure (CIF):
```
data_Li2AlGa2
_chemical_formula_sum 'Li4 Al2 Ga4'
_space_group_name_H-M_alt 'P 4/m b m'
_space_group_IT_number 127
_space_group_name_Hall '-P 4 2ab'
_cell_length_a 7.2802
_cell_length_b 7.2802
_cell_length_c 3.0944
_cell_angle_alpha 90.00
_cell_angle_beta 90.00
_cell_angle_gamma 90.00
loop_
_atom_site_label
_atom_site_type_symbol
_atom_site_fract_x
_atom_site_fract_y
_atom_site_fract_z
_atom_site_occupancy
Li1 Li 0.1296 0.3704 0.0000 1
Al1 Al 0.0000 0.0000 0.0000 1
Ga1 Ga 0.1679 0.6679 0.5000 1
```

Volume = 164 Å³ per cell
ΔE to the lowest computed polymorph = 0.129 eV per atom
Density = 3.65 g/cm³
M_tot = 0.00 Bohr magnetons per cell
Energy of formation from the pure elements = -80 meV per atom
E = -2.80 eV/atom